DFT (PBE) results for an optimized crystal structure of CaIn5.

Unit cell a=7.3463 b=7.3463 c=4.8395 alpha=90.00 beta=90.00 gamma=142.24
Element x y z (fractional)
Ca  0.0000  0.0000  0.0000
In  0.1700  0.8300  0.5000
In  0.3292  0.6708  0.0000
In  0.5000  0.5000  0.5000
In  0.6708  0.3292  0.0000
In  0.8300  0.1700  0.5000

ΔE_f, meV/atom: -198
Space-group type: Cmmm
ΔE to the lowest computed polymorph, eV/f.u.: 0.00